(1)
Entry from Alexandria via LeMat-Bulk: a relaxed Tb3MgPb3 crystal (PBE).

The structure in CIF format:
```
data_Tb3MgPb3
_space_group_name_H-M_alt 'P 1'
_space_group_IT_number 1
_space_group_name_Hall 'P 1'
_cell_length_a 9.344
_cell_length_b 9.344
_cell_length_c 6.245
_cell_angle_alpha 90.00
_cell_angle_beta 90.00
_cell_angle_gamma 120.00
loop_
_atom_site_label
_atom_site_fract_x
_atom_site_fract_y
_atom_site_fract_z
_atom_site_occupancy
Tb1 0.042 0.685 0.250 1
Tb2 0.315 0.357 0.250 1
Tb3 0.357 0.042 0.750 1
Tb4 0.643 0.958 0.250 1
Tb5 0.685 0.643 0.750 1
Tb6 0.958 0.315 0.750 1
Mg1 0.333 0.667 0.750 1
Mg2 0.667 0.333 0.250 1
Pb1 0.033 0.688 0.750 1
Pb2 0.312 0.345 0.750 1
Pb3 0.345 0.033 0.250 1
Pb4 0.655 0.967 0.750 1
Pb5 0.688 0.655 0.250 1
Pb6 0.967 0.312 0.250 1
```

Calculated values
SG: P6_3/m
Formation energy, eV/f.u.: -1.65
Total moment, Bohr magnetons per cell: 0.0



(2)
Entry from Alexandria via LeMat-Bulk: a relaxed Li2TcCl crystal (PBE).

The structure in CIF format:
```
data_Li2TcCl
_space_group_name_H-M_alt 'P 1'
_space_group_IT_number 1
_space_group_name_Hall 'P 1'
_cell_length_a 5.227
_cell_length_b 5.227
_cell_length_c 5.227
_cell_angle_alpha 148.81
_cell_angle_beta 128.33
_cell_angle_gamma 61.60
loop_
_atom_site_label
_atom_site_fract_x
_atom_site_fract_y
_atom_site_fract_z
_atom_site_occupancy
Li1 0.215 0.215 0.000 1
Li2 0.785 0.785 0.000 1
Tc1 0.500 0.000 0.500 1
Cl1 0.000 0.500 0.500 1
```

Calculated values
Energy relative to the elements, uncorrected, eV per atom: 0.169
Relative energy among the computed polymorphs, eV per atom: 0.426
SG: Immm
Total moment, Bohr magnetons per cell: 0.0



(3)
Entry from Alexandria via LeMat-Bulk: a relaxed KBe2Pt crystal (PBE).

The structure in CIF format:
```
data_KBe2Pt
_space_group_name_H-M_alt 'P 1'
_space_group_IT_number 1
_space_group_name_Hall 'P 1'
_cell_length_a 2.732
_cell_length_b 3.446
_cell_length_c 7.481
_cell_angle_alpha 90.00
_cell_angle_beta 90.27
_cell_angle_gamma 90.00
loop_
_atom_site_label
_atom_site_fract_x
_atom_site_fract_y
_atom_site_fract_z
_atom_site_occupancy
K1 0.000 0.000 0.000 1
Be1 0.499 0.500 0.357 1
Be2 0.501 0.500 0.643 1
Pt1 0.000 0.000 0.500 1
```

Calculated values
Relative energy among the computed polymorphs, eV per atom: 0.356
SG: P2/m
Formation energy, eV/f.u.: 0.28
Total moment, Bohr magnetons per cell: 0.0



(4)
Entry from Alexandria via LeMat-Bulk: a relaxed AuN crystal (PBE).

The structure in CIF format:
```
data_AuN
_space_group_name_H-M_alt 'P 1'
_space_group_IT_number 1
_space_group_name_Hall 'P 1'
_cell_length_a 6.109
_cell_length_b 6.109
_cell_length_c 6.109
_cell_angle_alpha 90.00
_cell_angle_beta 90.00
_cell_angle_gamma 90.00
loop_
_atom_site_label
_atom_site_fract_x
_atom_site_fract_y
_atom_site_fract_z
_atom_site_occupancy
Au1 0.000 0.250 0.500 1
Au2 0.000 0.750 0.500 1
Au3 0.250 0.500 0.000 1
Au4 0.500 0.000 0.250 1
Au5 0.500 0.000 0.750 1
Au6 0.750 0.500 0.000 1
N1 0.000 0.500 0.250 1
N2 0.000 0.500 0.750 1
N3 0.250 0.000 0.500 1
N4 0.500 0.250 0.000 1
N5 0.500 0.750 0.000 1
N6 0.750 0.000 0.500 1
```

Calculated values
Energy relative to the elements, uncorrected, eV per atom: 1.731
Relative energy among the computed polymorphs, eV per atom: 0.428
SG: Pm-3n
Total moment, Bohr magnetons per cell: 0.0



(5)
Entry from Alexandria via LeMat-Bulk: a relaxed ReSeO2 crystal (PBE).

The structure in CIF format:
```
data_ReSeO2
_space_group_name_H-M_alt 'P 1'
_space_group_IT_number 1
_space_group_name_Hall 'P 1'
_cell_length_a 3.983
_cell_length_b 3.983
_cell_length_c 3.983
_cell_angle_alpha 60.00
_cell_angle_beta 60.00
_cell_angle_gamma 60.00
loop_
_atom_site_label
_atom_site_fract_x
_atom_site_fract_y
_atom_site_fract_z
_atom_site_occupancy
Re1 0.000 0.000 0.000 1
Se1 0.500 0.500 0.500 1
O1 0.250 0.250 0.250 1
O2 0.750 0.750 0.750 1
```

Calculated values
Energy relative to the elements, uncorrected, eV per atom: 0.530
Relative energy among the computed polymorphs, eV per atom: 1.140
SG: Fm-3m
Total moment, Bohr magnetons per cell: 0.0



(6)
Entry from Alexandria via LeMat-Bulk: a relaxed KMgNpI6 crystal (PBE).

The structure in CIF format:
```
data_KMgNpI6
_space_group_name_H-M_alt 'P 1'
_space_group_IT_number 1
_space_group_name_Hall 'P 1'
_cell_length_a 7.866
_cell_length_b 7.866
_cell_length_c 15.568
_cell_angle_alpha 90.00
_cell_angle_beta 90.00
_cell_angle_gamma 120.00
loop_
_atom_site_label
_atom_site_fract_x
_atom_site_fract_y
_atom_site_fract_z
_atom_site_occupancy
K1 0.000 0.000 0.000 1
K2 0.000 0.000 0.500 1
Mg1 0.333 0.667 0.250 1
Mg2 0.667 0.333 0.750 1
Np1 0.333 0.667 0.750 1
Np2 0.667 0.333 0.250 1
I1 0.016 0.375 0.139 1
I2 0.016 0.641 0.361 1
I3 0.359 0.375 0.361 1
I4 0.359 0.984 0.139 1
I5 0.375 0.016 0.639 1
I6 0.375 0.359 0.861 1
I7 0.625 0.641 0.139 1
I8 0.625 0.984 0.361 1
I9 0.641 0.016 0.861 1
I10 0.641 0.625 0.639 1
I11 0.984 0.359 0.639 1
I12 0.984 0.625 0.861 1
```

Calculated values
Energy relative to the elements, uncorrected, eV per atom: -1.042
SG: P-31c
Total moment, Bohr magnetons per cell: 8.0



(7)
Entry from Alexandria via LeMat-Bulk: a relaxed AcSmYHg crystal (PBE).

The structure in CIF format:
```
data_AcSmYHg
_space_group_name_H-M_alt 'P 1'
_space_group_IT_number 1
_space_group_name_Hall 'P 1'
_cell_length_a 5.618
_cell_length_b 5.618
_cell_length_c 5.618
_cell_angle_alpha 60.00
_cell_angle_beta 60.00
_cell_angle_gamma 60.00
loop_
_atom_site_label
_atom_site_fract_x
_atom_site_fract_y
_atom_site_fract_z
_atom_site_occupancy
Ac1 0.000 0.000 0.000 1
Sm1 0.750 0.750 0.750 1
Y1 0.250 0.250 0.250 1
Hg1 0.500 0.500 0.500 1
```

Calculated values
SG: F-43m
Formation energy, eV/f.u.: 0.11
Total moment, Bohr magnetons per cell: 0.0



(8)
Entry from Alexandria via LeMat-Bulk: a relaxed PmMgTeO6 crystal (PBE).

The structure in CIF format:
```
data_PmMgTeO6
_space_group_name_H-M_alt 'P 1'
_space_group_IT_number 1
_space_group_name_Hall 'P 1'
_cell_length_a 5.331
_cell_length_b 5.331
_cell_length_c 9.964
_cell_angle_alpha 90.00
_cell_angle_beta 90.00
_cell_angle_gamma 120.00
loop_
_atom_site_label
_atom_site_fract_x
_atom_site_fract_y
_atom_site_fract_z
_atom_site_occupancy
Pm1 0.000 0.000 0.000 1
Pm2 0.000 0.000 0.500 1
Mg1 0.333 0.667 0.250 1
Mg2 0.667 0.333 0.750 1
Te1 0.333 0.667 0.750 1
Te2 0.667 0.333 0.250 1
O1 0.023 0.372 0.641 1
O2 0.023 0.651 0.859 1
O3 0.349 0.372 0.859 1
O4 0.349 0.977 0.641 1
O5 0.372 0.023 0.141 1
O6 0.372 0.349 0.359 1
O7 0.628 0.651 0.641 1
O8 0.628 0.977 0.859 1
O9 0.651 0.023 0.359 1
O10 0.651 0.628 0.141 1
O11 0.977 0.349 0.141 1
O12 0.977 0.628 0.359 1
```

Calculated values
Energy relative to the elements, uncorrected, eV per atom: -1.989
SG: P-31c
Total moment, Bohr magnetons per cell: 2.1



(9)
Entry from Alexandria via LeMat-Bulk: a relaxed BaGa7Ag12 crystal (PBE).

The structure in CIF format:
```
data_BaGa7Ag12
_space_group_name_H-M_alt 'P 1'
_space_group_IT_number 1
_space_group_name_Hall 'P 1'
_cell_length_a 8.291
_cell_length_b 8.291
_cell_length_c 8.291
_cell_angle_alpha 111.96
_cell_angle_beta 111.96
_cell_angle_gamma 111.96
loop_
_atom_site_label
_atom_site_fract_x
_atom_site_fract_y
_atom_site_fract_z
_atom_site_occupancy
Ba1 0.000 0.000 0.000 1
Ga1 0.181 0.181 0.535 1
Ga2 0.181 0.535 0.181 1
Ga3 0.465 0.819 0.819 1
Ga4 0.500 0.500 0.500 1
Ga5 0.535 0.181 0.181 1
Ga6 0.819 0.465 0.819 1
Ga7 0.819 0.819 0.465 1
Ag1 0.000 0.264 0.736 1
Ag2 0.000 0.736 0.264 1
Ag3 0.096 0.424 0.424 1
Ag4 0.264 0.000 0.736 1
Ag5 0.264 0.736 0.000 1
Ag6 0.424 0.096 0.424 1
Ag7 0.424 0.424 0.096 1
Ag8 0.576 0.576 0.904 1
Ag9 0.576 0.904 0.576 1
Ag10 0.736 0.000 0.264 1
Ag11 0.736 0.264 0.000 1
Ag12 0.904 0.576 0.576 1
```

Calculated values
SG: R-3m
Formation energy, eV/f.u.: -0.35
Total moment, Bohr magnetons per cell: 0.0



(10)
Entry from Alexandria via LeMat-Bulk: a relaxed RbHgAu10 crystal (PBE).

The structure in CIF format:
```
data_RbHgAu10
_space_group_name_H-M_alt 'P 1'
_space_group_IT_number 1
_space_group_name_Hall 'P 1'
_cell_length_a 4.643
_cell_length_b 5.709
_cell_length_c 9.914
_cell_angle_alpha 90.00
_cell_angle_beta 90.00
_cell_angle_gamma 90.00
loop_
_atom_site_label
_atom_site_fract_x
_atom_site_fract_y
_atom_site_fract_z
_atom_site_occupancy
Rb1 0.000 0.000 0.000 1
Hg1 0.000 0.500 0.500 1
Au1 0.000 0.000 0.343 1
Au2 0.000 0.000 0.657 1
Au3 0.000 0.500 0.188 1
Au4 0.000 0.500 0.812 1
Au5 0.500 0.000 0.500 1
Au6 0.500 0.247 0.250 1
Au7 0.500 0.247 0.750 1
Au8 0.500 0.500 0.000 1
Au9 0.500 0.753 0.250 1
Au10 0.500 0.753 0.750 1
```

Calculated values
SG: Pmmm
Formation energy, eV/f.u.: -0.80
Total moment, Bohr magnetons per cell: 0.0



(11)
Entry from Alexandria via LeMat-Bulk: a relaxed BaEuPb crystal (PBE).

The structure in CIF format:
```
data_BaEuPb
_space_group_name_H-M_alt 'P 1'
_space_group_IT_number 1
_space_group_name_Hall 'P 1'
_cell_length_a 5.711
_cell_length_b 5.711
_cell_length_c 4.232
_cell_angle_alpha 90.00
_cell_angle_beta 90.00
_cell_angle_gamma 120.00
loop_
_atom_site_label
_atom_site_fract_x
_atom_site_fract_y
_atom_site_fract_z
_atom_site_occupancy
Ba1 0.000 0.000 0.000 1
Eu1 0.333 0.667 0.555 1
Pb1 0.667 0.333 0.402 1
```

Calculated values
Relative energy among the computed polymorphs, eV per atom: 0.048
SG: P3m1
Formation energy, eV/f.u.: -1.10
Total moment, Bohr magnetons per cell: 7.2



(12)
Entry from Alexandria via LeMat-Bulk: a relaxed LiTe2AuN crystal (PBE).

The structure in CIF format:
```
data_LiTe2AuN
_space_group_name_H-M_alt 'P 1'
_space_group_IT_number 1
_space_group_name_Hall 'P 1'
_cell_length_a 5.898
_cell_length_b 5.898
_cell_length_c 3.728
_cell_angle_alpha 90.00
_cell_angle_beta 90.00
_cell_angle_gamma 90.00
loop_
_atom_site_label
_atom_site_fract_x
_atom_site_fract_y
_atom_site_fract_z
_atom_site_occupancy
Li1 0.000 0.000 0.000 1
Te1 0.000 0.500 0.500 1
Te2 0.500 0.000 0.500 1
Au1 0.500 0.500 0.500 1
N1 0.500 0.500 0.000 1
```

Calculated values
Energy relative to the elements, uncorrected, eV per atom: 0.615
Relative energy among the computed polymorphs, eV per atom: 0.000
SG: P4/mmm
Total moment, Bohr magnetons per cell: 0.0